Computed, not measured: an optimized crystal structure of SrMnP2O at the PBE with a Hubbard U level of DFT.

Lattice parameters (Å, degrees): 5.5485 5.5485 4.3370 90.00 90.00 90.00
Fractional coordinates of all 5 atoms:
Sr (0.0000, 0.0000, 0.0000)
Mn (0.5000, 0.5000, 0.5000)
P (0.0000, 0.5000, 0.0000)
P (0.5000, 0.0000, 0.0000)
O (0.0000, 0.0000, 0.5000)

Calculated total energy, eV per atom: -3.612
Symmetry: P4/mmm (123)
Calculated volume, Å³/cell: 133.5
D(E_F), states/eV/atom: 0.95
Size of the total moment, Bohr magnetons per cell: 2.5